# 1
This record from the Alexandria database describes a relaxed structure of Li3Ho. The functional is PBE-GGA.

## Properties
Its space-group type is P4/nmm, No. 129. For the distance to the lowest polymorph of the same formula, the calculation gives 0 meV/atom. For the energy of formation, the calculation gives 0.049 eV per atom.

Structure (POSCAR):
```
Li3Ho
1.0
3.3789 0.0000 0.0000
0.0000 3.3789 0.0000
0.0000 0.0000 16.1791
Li Ho
6 2
direct
0.2500 0.2500 0.0543
0.2500 0.2500 0.2747
0.2500 0.2500 0.8335
0.7500 0.7500 0.1665
0.7500 0.7500 0.7253
0.7500 0.7500 0.9457
0.2500 0.2500 0.5768
0.7500 0.7500 0.4232
```

# 2
This record from the Alexandria database describes a relaxed structure of LiHo4. The functional is PBE-GGA.

## Properties
Its space-group type is Pm-3m, No. 221. For the energy of formation, the calculation gives 0.449 eV per atom.

Structure (POSCAR):
```
LiHo4
1.0
5.3375 0.0000 0.0000
0.0000 5.3375 0.0000
0.0000 0.0000 5.3375
Li Ho
1 4
direct
0.0000 0.0000 0.0000
0.0000 0.0000 0.5000
0.0000 0.5000 0.0000
0.5000 0.0000 0.0000
0.5000 0.5000 0.5000
```

# 3
This record from the Alexandria database describes a relaxed structure of Li3Ho. The functional is PBE-GGA.

## Properties
Its space-group type is Pm-3m, No. 221. For the distance to the lowest polymorph of the same formula, the calculation gives 216 meV/atom. For the energy of formation, the calculation gives 0.265 eV per atom.

Structure (POSCAR):
```
Li3Ho
1.0
4.5873 0.0000 0.0000
0.0000 4.5873 0.0000
0.0000 0.0000 4.5873
Li Ho
3 1
direct
0.0000 0.0000 0.5000
0.0000 0.5000 0.0000
0.5000 0.0000 0.0000
0.5000 0.5000 0.5000
```

# 4
This record from the Alexandria database describes a relaxed structure of LiHoLu. The functional is PBE-GGA.

## Properties
Its space-group type is P3m1, No. 156. For the distance to the lowest polymorph of the same formula, the calculation gives 23 meV/atom. For the energy of formation, the calculation gives 0.123 eV per atom.

Structure (POSCAR):
```
LiHoLu
1.0
3.4152 0.0000 0.0000
-1.7076 2.9577 0.0000
0.0000 0.0000 8.2302
Li Ho Lu
1 1 1
direct
0.0000 0.0000 0.0000
0.3333 0.6667 0.6649
0.6667 0.3333 0.3283
```

# 5
This record from the Alexandria database describes a relaxed structure of LiHo2Lu. The functional is PBE-GGA.

## Properties
Its space-group type is R-3m, No. 166. For the distance to the lowest polymorph of the same formula, the calculation gives 97 meV/atom. For the energy of formation, the calculation gives 0.173 eV per atom.

Structure (POSCAR):
```
LiHo2Lu
1.0
1.7078 0.9860 12.0120
-1.7078 0.9860 12.0120
0.0000 -1.9720 12.0120
Li Ho Lu
1 2 1
direct
0.0000 0.0000 0.0000
0.0894 0.0894 0.0894
0.9106 0.9106 0.9106
0.5000 0.5000 0.5000
```

# 6
This record from the Alexandria database describes a relaxed structure of LiHoLu. The functional is PBE-GGA.

## Properties
Its space-group type is I4mm, No. 107. For the distance to the lowest polymorph of the same formula, the calculation gives 0 meV/atom. For the energy of formation, the calculation gives 0.100 eV per atom.

Structure (POSCAR):
```
LiHoLu
1.0
-1.7927 1.7927 6.1869
1.7927 -1.7927 6.1869
1.7927 1.7927 -6.1869
Li Ho Lu
1 1 1
direct
0.0000 0.0000 0.0000
0.6579 0.6579 0.0000
0.3480 0.3480 0.0000
```

# 7
This record from the Alexandria database describes a relaxed structure of Li2HoLu. The functional is PBE-GGA.

## Properties
Its space-group type is Fm-3m, No. 225. For the distance to the lowest polymorph of the same formula, the calculation gives 2 meV/atom. For the energy of formation, the calculation gives 0.162 eV per atom.

Structure (POSCAR):
```
Li2HoLu
1.0
0.0000 3.6598 3.6598
3.6598 0.0000 3.6598
3.6598 3.6598 0.0000
Li Ho Lu
2 1 1
direct
0.2500 0.2500 0.2500
0.7500 0.7500 0.7500
0.0000 0.0000 0.0000
0.5000 0.5000 0.5000
```

# 8
This record from the Alexandria database describes a relaxed structure of LiHo2Lu. The functional is PBE-GGA.

## Properties
Its space-group type is P4/mmm, No. 123. For the distance to the lowest polymorph of the same formula, the calculation gives 0 meV/atom. For the energy of formation, the calculation gives 0.076 eV per atom.

Structure (POSCAR):
```
LiHo2Lu
1.0
3.5610 0.0000 0.0000
0.0000 3.5610 0.0000
0.0000 0.0000 8.7132
Li Ho Lu
1 2 1
direct
0.0000 0.0000 0.0000
0.5000 0.5000 0.2272
0.5000 0.5000 0.7728
0.0000 0.0000 0.5000
```

| no. | total DFT energy (no corrections) (eV for the cell shown) | size of the total moment (μB per cell) |
| --- | --- | --- |
| 1 | -20.25 | 0.00 |
| 2 | -17.98 | 0.00 |
| 3 | -9.26 | 1.16 |
| 4 | -10.64 | 0.00 |
| 5 | -14.90 | 0.00 |
| 6 | -10.71 | 0.00 |
| 7 | -12.28 | 0.00 |
| 8 | -15.29 | 0.00 |